Y2CN: relaxed, GGA-PBE.

Output
- Density of states at the Fermi level: 2.0 states/eV/f.u.
- Calculated total energy: -33.6 eV per cell
- E_form (uncorrected): -0.792 eV per atom
- ΔE to the lowest computed polymorph: 0 meV per atom

Lattice parameters (Å, degrees): 3.5068 3.5068 6.2391 73.68 73.68 60.00
Last column: nearest neighbours and their distance in Å.
Fractional positions:
Y 0.2467 0.2467 0.2598  3 N 2.47, 3 C 2.54
Y 0.7533 0.7533 0.7402  3 N 2.47, 3 C 2.54
C 0.0000 0.0000 0.0000  6 Y 2.54
N 0.5000 0.5000 0.5000  6 Y 2.47